(1)
Below is Th2CuP3Rh12 after structural relaxation, with properties calculated at the GGA-PBE level.

a = 7.029 Å, b = 7.029 Å, c = 7.029 Å
α = 73.89°, β = 73.89°, γ = 73.89°
Positions (direct):
Th  0.613  0.613  0.613
Th  0.387  0.387  0.387
Cu  0.000  0.000  0.000
P  0.500  0.000  0.000
P  0.000  0.500  0.000
P  0.000  0.000  0.500
Rh  0.337  0.337  0.908
Rh  0.851  0.851  0.361
Rh  0.361  0.851  0.851
Rh  0.908  0.337  0.337
Rh  0.851  0.361  0.851
Rh  0.337  0.908  0.337
Rh  0.663  0.663  0.092
Rh  0.149  0.149  0.639
Rh  0.639  0.149  0.149
Rh  0.092  0.663  0.663
Rh  0.149  0.639  0.149
Rh  0.663  0.092  0.663

Calculated values
N(E_F) (states/eV per cell): 12.26
Formation energy (eV per atom): -0.33
Uncorrected energy (eV per atom): -7.184

***

(2)
Below is Th2CuP3Rh4 after structural relaxation, with properties calculated at the GGA-PBE level.

a = 4.112 Å, b = 4.112 Å, c = 9.990 Å
α = 90.00°, β = 90.00°, γ = 90.00°
Positions (direct):
Th  0.500  0.000  0.253
Th  0.000  0.500  0.747
Cu  0.500  0.500  0.500
P  0.000  0.000  0.500
P  0.500  0.000  0.864
P  0.000  0.500  0.136
Rh  0.500  0.500  0.000
Rh  0.000  0.000  0.000
Rh  0.500  0.000  0.632
Rh  0.000  0.500  0.368

Calculated values
N(E_F) (states/eV per cell): 5.64
Formation energy (eV per atom): -1.01
Uncorrected energy (eV per atom): -7.465

***

(3)
Below is Th3CuP2Rh9 after structural relaxation, with properties calculated at the GGA-PBE level.

a = 6.922 Å, b = 6.922 Å, c = 6.696 Å
α = 90.00°, β = 90.00°, γ = 120.00°
Positions (direct):
Th  0.333  0.667  0.666
Th  0.000  0.000  0.000
Th  0.667  0.333  0.334
Cu  0.000  0.000  0.500
P  0.333  0.667  0.156
P  0.667  0.333  0.844
Rh  0.822  0.178  0.665
Rh  0.822  0.645  0.665
Rh  0.355  0.178  0.665
Rh  0.645  0.822  0.335
Rh  0.178  0.355  0.335
Rh  0.178  0.822  0.335
Rh  0.500  0.000  0.000
Rh  0.000  0.500  0.000
Rh  0.500  0.500  0.000

Calculated values
N(E_F) (states/eV per cell): 6.44
Formation energy (eV per atom): -0.62
Uncorrected energy (eV per atom): -7.506

***

(4)
Below is Zn2CuPRh after structural relaxation, with properties calculated at the GGA-PBE level.

a = 4.506 Å, b = 4.194 Å, c = 4.506 Å
α = 90.00°, β = 90.00°, γ = 90.00°
Positions (direct):
P  0.000  0.500  0.000
Zn  0.000  0.000  0.500
Zn  0.500  0.000  0.000
Rh  0.500  0.500  0.500
Cu  0.000  0.000  0.000

Calculated values
N(E_F) (states/eV per cell): 2.77
Formation energy (eV per atom): 0.60
Uncorrected energy (eV per atom): -3.284